[1]
A plane-wave DFT calculation with PBE was carried out for a geometry-optimized PaBe3 structure.

## Properties
Total magnetization (μB per formula unit): 0.0
Electronic total energy (eV per atom): -4.36
ΔE_f (eV per atom): 0.81
Excess energy over the best structure of this formula in the dataset (eV per formula unit): 1.844

Cell and atoms, written as POSCAR:
```
PaBe3
1.0
3.5584 0.0000 0.0000
0.0000 3.5584 0.0000
-1.7792 -1.7792 4.9325
Be Pa
3 1
Cartesian
1.7792 1.7792 0.0000 Be
0.0000 0.0000 2.8939 Be
1.7792 1.7792 2.0386 Be
0.0000 0.0000 0.0000 Pa
```

[2]
A plane-wave DFT calculation with PBE was carried out for a geometry-optimized SrZr2NbCu structure.

## Properties
Total magnetization (μB per formula unit): 0.0
Electronic total energy (eV per atom): -5.48
ΔE_f (eV per atom): 1.11

Cell and atoms, written as POSCAR:
```
SrZr2NbCu
1.0
-3.1772 3.4648 -1.8592
-2.8718 0.2493 5.3720
3.1290 3.6754 1.5022
Sr Nb Cu Zr
1 1 1 2
Cartesian
-1.4359 0.1246 2.6860 Sr
0.0000 0.0000 0.0000 Nb
-1.4600 3.6947 2.5075 Cu
1.5645 1.8377 0.7511 Zr
-1.5886 1.7324 -0.9296 Zr
```

> ΔE_f of number 1 (PaBe3)?

0.81 eV per atom

> The highest electronic total energy belongs to which entry?

PaBe3

Please write out number 2 again, unchanged.
A plane-wave DFT calculation with PBE was carried out for a geometry-optimized SrZr2NbCu structure.

## Properties
Total magnetization (μB per formula unit): 0.0
Electronic total energy (eV per atom): -5.48
ΔE_f (eV per atom): 1.11

Cell and atoms, written as POSCAR:
```
SrZr2NbCu
1.0
-3.1772 3.4648 -1.8592
-2.8718 0.2493 5.3720
3.1290 3.6754 1.5022
Sr Nb Cu Zr
1 1 1 2
Cartesian
-1.4359 0.1246 2.6860 Sr
0.0000 0.0000 0.0000 Nb
-1.4600 3.6947 2.5075 Cu
1.5645 1.8377 0.7511 Zr
-1.5886 1.7324 -0.9296 Zr
```

> Which value of total magnetization does entry 2 give?

0.0 μB per formula unit